[1]
## CsHg2F5 (PBE-GGA)

Data for crystalline CsHg2F5 at its relaxed geometry.

Geometry as CIF:
```
data_CsHg2F5
_cell_length_a 4.8884
_cell_length_b 11.7627
_cell_length_c 11.8129
_cell_angle_alpha 90.00
_cell_angle_beta 90.00
_cell_angle_gamma 90.00
_symmetry_space_group_name_H-M 'C m c m'
_symmetry_Int_Tables_number 63
_symmetry_space_group_name_Hall '-C 2c 2'
loop_
_atom_site_label
_atom_site_type_symbol
_atom_site_fract_x
_atom_site_fract_y
_atom_site_fract_z
Cs1 Cs 0.0000 0.0596 0.2500
Hg1 Hg 0.0000 0.3551 0.0573
F1 F 0.0000 0.1772 0.5142
F2 F 0.0000 0.3122 0.2500
F3 F 0.0000 0.4617 0.6119
```

Summary:
* formation energy without anion corrections: -1369 kJ/mol of formula units
* calculated total energy: -3.126 eV/atom
* offset from the most stable computed form: 0 meV per atom
* crystal system: orthorhombic


[2]
## BeSbAu (PBE-GGA)

Data for crystalline BeSbAu at its relaxed geometry.

Geometry as CIF:
```
data_BeSbAu
_cell_length_a 3.1608
_cell_length_b 4.4192
_cell_length_c 8.7849
_cell_angle_alpha 92.84
_cell_angle_beta 90.02
_cell_angle_gamma 110.91
_symmetry_space_group_name_H-M 'P -1'
_symmetry_Int_Tables_number 2
_symmetry_space_group_name_Hall '-P 1'
loop_
_atom_site_label
_atom_site_type_symbol
_atom_site_fract_x
_atom_site_fract_y
_atom_site_fract_z
Be1 Be 0.1448 0.2892 0.4550
Sb1 Sb 0.1237 0.2512 0.1540
Au1 Au 0.4107 0.8226 0.3503
```

Summary:
* formation energy without anion corrections: -11 kJ/mol of formula units
* calculated total energy: -3.748 eV/atom
* crystal system: triclinic


[3]
## Tb3TmMg7 (PBE-GGA)

Data for crystalline Tb3TmMg7 at its relaxed geometry.

Geometry as CIF:
```
data_Tb3TmMg7
_cell_length_a 3.2954
_cell_length_b 22.5337
_cell_length_c 16.2865
_cell_angle_alpha 90.00
_cell_angle_beta 90.00
_cell_angle_gamma 90.00
_symmetry_space_group_name_H-M 'C m c m'
_symmetry_Int_Tables_number 63
_symmetry_space_group_name_Hall '-C 2c 2'
loop_
_atom_site_label
_atom_site_type_symbol
_atom_site_fract_x
_atom_site_fract_y
_atom_site_fract_z
Tb1 Tb 0.0000 0.1178 0.0347
Tb2 Tb 0.0000 0.2402 0.7500
Tm1 Tm 0.0000 0.0157 0.7500
Mg1 Mg 0.0000 0.2626 0.0744
Mg2 Mg 0.0000 0.3749 0.1578
Mg3 Mg 0.0000 0.3877 0.7500
Mg4 Mg 0.0000 0.4930 0.0847
```

Summary:
* calculated total energy: -2.601 eV/atom
* offset from the most stable computed form: 0 meV per atom
* crystal system: orthorhombic


Which of these has the highest calculated total energy?
Tb3TmMg7


Among the records above, which one has the lowest calculated total energy?
BeSbAu


Which value of calculated total energy does entry 1 give?
-3.126 eV/atom